# 1
ZrVCrRe2 | the Alexandria database | PBE-GGA | optimized geometry; final energy = -8.894 eV per atom
1.0
4.481 0.000 0.000
0.000 4.481 0.000
0.000 0.000 4.622
Zr V Cr Re
1 1 1 2
direct
0.000 0.000 0.000 Zr
0.000 0.000 0.500 V
0.500 0.500 0.000 Cr
0.000 0.500 0.500 Re
0.500 0.000 0.500 Re



# 2
CrRe2W | the Alexandria database | PBE-GGA | optimized geometry; final energy = -11.620 eV per atom
1.0
5.503 0.000 0.000
0.000 7.754 0.000
0.000 0.000 2.767
Cr Re W
2 4 2
direct
0.000 0.000 0.000 Cr
0.500 0.500 0.000 Cr
0.250 0.250 0.500 Re
0.250 0.750 0.500 Re
0.750 0.250 0.500 Re
0.750 0.750 0.500 Re
0.000 0.500 0.000 W
0.500 0.000 0.000 W



# 3
Cr2ReW3 | the Alexandria database | PBE-GGA | optimized geometry; final energy = -11.733 eV per atom
1.0
3.067 0.000 0.000
0.000 3.067 0.000
0.000 0.000 9.245
Cr Re W
2 1 3
direct
0.000 0.000 0.163 Cr
0.000 0.000 0.837 Cr
0.000 0.000 0.500 Re
0.500 0.500 0.000 W
0.500 0.500 0.322 W
0.500 0.500 0.678 W



# 4
CrRe2W | the Alexandria database | PBE-GGA | optimized geometry; final energy = -11.749 eV per atom
1.0
2.692 0.000 0.000
0.000 4.322 0.000
-0.949 0.000 5.033
Cr Re W
1 2 1
direct
0.000 0.000 0.000 Cr
0.447 0.000 0.496 Re
0.735 0.500 0.244 Re
0.213 0.500 0.756 W



# 5
CrRe2W | the Alexandria database | PBE-GGA | optimized geometry; final energy = -11.744 eV per atom
1.0
2.681 0.000 0.000
0.000 4.344 0.000
-0.850 0.000 5.034
Cr Re W
1 2 1
direct
0.000 0.000 0.000 Cr
0.253 0.500 0.758 Re
0.747 0.500 0.242 Re
0.500 0.000 0.500 W



# 6
CrReW | the Alexandria database | PBE-GGA | optimized geometry; energy relative to the lowest polymorph listed for this composition = 0.069 eV per atom
1.0
3.092 0.000 0.000
0.000 4.399 0.000
0.000 0.000 12.773
Cr Re W
4 4 4
direct
0.000 0.000 0.000 Cr
0.000 0.500 0.500 Cr
0.500 0.000 0.500 Cr
0.500 0.500 0.000 Cr
0.000 0.000 0.659 Re
0.000 0.500 0.159 Re
0.500 0.000 0.159 Re
0.500 0.500 0.659 Re
0.000 0.000 0.336 W
0.000 0.500 0.836 W
0.500 0.000 0.836 W
0.500 0.500 0.336 W



# 7
CrRe2W | the Alexandria database | PBE-GGA | optimized geometry; final energy = -11.755 eV per atom
1.0
6.159 0.000 0.000
0.000 6.159 0.000
0.000 0.000 6.159
Cr Re W
4 8 4
direct
0.000 0.000 0.000 Cr
0.000 0.500 0.500 Cr
0.500 0.000 0.500 Cr
0.500 0.500 0.000 Cr
0.000 0.000 0.500 Re
0.000 0.500 0.000 Re
0.250 0.250 0.250 Re
0.250 0.750 0.750 Re
0.500 0.000 0.000 Re
0.500 0.500 0.500 Re
0.750 0.250 0.750 Re
0.750 0.750 0.250 Re
0.250 0.250 0.750 W
0.250 0.750 0.250 W
0.750 0.250 0.250 W
0.750 0.750 0.750 W



# 8
CrReW | the Alexandria database | PBE-GGA | optimized geometry; energy relative to the lowest polymorph listed for this composition = 0.671 eV per atom
1.0
5.809 0.000 0.000
0.000 5.809 0.000
0.000 0.000 5.809
Cr Re W
4 4 4
direct
0.000 0.000 0.000 Cr
0.000 0.500 0.500 Cr
0.500 0.000 0.500 Cr
0.500 0.500 0.000 Cr
0.250 0.250 0.250 Re
0.250 0.750 0.750 Re
0.750 0.250 0.750 Re
0.750 0.750 0.250 Re
0.250 0.250 0.750 W
0.250 0.750 0.250 W
0.750 0.250 0.250 W
0.750 0.750 0.750 W



# 9
CrReW | the Alexandria database | PBE-GGA | optimized geometry; energy relative to the lowest polymorph listed for this composition = 0.014 eV per atom
1.0
9.201 0.000 0.000
0.000 4.316 0.000
-3.041 0.000 4.358
Cr Re W
4 4 4
direct
0.000 0.000 0.000 Cr
0.160 0.500 0.497 Cr
0.500 0.500 0.000 Cr
0.660 0.000 0.497 Cr
0.172 0.500 0.013 Re
0.328 0.000 0.502 Re
0.672 0.000 0.013 Re
0.828 0.500 0.502 Re
0.004 0.000 0.513 W
0.342 0.000 0.008 W
0.504 0.500 0.513 W
0.842 0.500 0.008 W



# 10
CrReW | the Alexandria database | PBE-GGA | optimized geometry; energy relative to the lowest polymorph listed for this composition = 0.019 eV per atom
1.0
4.317 0.000 0.000
-2.158 3.738 0.000
0.000 0.000 2.687
Cr Re W
1 1 1
direct
0.000 0.000 0.000 Cr
0.667 0.333 0.345 Re
0.333 0.667 0.685 W



# 11
CrRe2W | the Alexandria database | PBE-GGA | optimized geometry; final energy = -11.774 eV per atom
1.0
4.359 0.000 0.000
0.000 4.359 0.000
0.000 0.000 3.078
Cr Re W
1 2 1
direct
0.000 0.000 0.000 Cr
0.000 0.500 0.500 Re
0.500 0.000 0.500 Re
0.500 0.500 0.000 W



# 12
CrReW4 | the Alexandria database | PBE-GGA | optimized geometry; final energy = -11.774 eV per atom
1.0
0.000 3.682 3.682
3.682 0.000 3.682
3.682 3.682 0.000
Cr Re W
1 1 4
direct
0.000 0.000 0.000 Cr
0.750 0.750 0.750 Re
0.375 0.375 0.375 W
0.375 0.375 0.875 W
0.375 0.875 0.375 W
0.875 0.375 0.375 W



# 13
CrRe2W | the Alexandria database | PBE-GGA | optimized geometry; final energy = -11.647 eV per atom
1.0
2.758 0.000 0.000
0.000 3.852 0.000
0.000 0.000 5.538
Cr Re W
1 2 1
direct
0.000 0.000 0.000 Cr
0.500 0.500 0.237 Re
0.500 0.500 0.763 Re
0.000 0.000 0.500 W



# 14
CrRe2W | the Alexandria database | PBE-GGA | optimized geometry; final energy = -11.611 eV per atom
1.0
2.764 0.000 0.000
-1.382 2.394 0.000
0.000 0.000 26.697
Cr Re W
3 6 3
direct
0.000 0.000 0.000 Cr
0.333 0.667 0.667 Cr
0.667 0.333 0.333 Cr
0.000 0.000 0.255 Re
0.000 0.000 0.745 Re
0.333 0.667 0.412 Re
0.333 0.667 0.922 Re
0.667 0.333 0.078 Re
0.667 0.333 0.588 Re
0.000 0.000 0.500 W
0.333 0.667 0.167 W
0.667 0.333 0.833 W



# 15
Cr4ReW | the Alexandria database | PBE-GGA | optimized geometry; final energy = -10.615 eV per atom
1.0
0.000 3.382 3.382
3.382 0.000 3.382
3.382 3.382 0.000
Cr Re W
4 1 1
direct
0.125 0.125 0.125 Cr
0.125 0.125 0.624 Cr
0.125 0.624 0.125 Cr
0.624 0.125 0.125 Cr
0.750 0.750 0.750 Re
0.500 0.500 0.500 W



# 16
CrRe2W | the Alexandria database | PBE-GGA | optimized geometry; final energy = -11.757 eV per atom
1.0
9.665 0.000 0.000
0.000 3.091 0.000
-1.970 0.000 3.905
Cr Re W
2 4 2
direct
0.000 0.000 0.000 Cr
0.500 0.500 0.000 Cr
0.245 0.500 0.245 Re
0.255 0.000 0.755 Re
0.745 0.000 0.245 Re
0.755 0.500 0.755 Re
0.000 0.500 0.500 W
0.500 0.000 0.500 W



# 17
CrReW | the Alexandria database | PBE-GGA | optimized geometry; energy relative to the lowest polymorph listed for this composition = 0.265 eV per atom
1.0
2.790 0.000 0.000
-1.395 2.416 0.000
0.000 0.000 6.533
Cr Re W
1 1 1
direct
0.000 0.000 0.000 Cr
0.333 0.667 0.309 Re
0.667 0.333 0.665 W



# 18
CrRe2W | the Alexandria database | PBE-GGA | optimized geometry; final energy = -10.900 eV per atom
1.0
3.638 0.000 0.000
0.000 3.638 0.000
0.000 0.000 19.473
Cr Re W
4 8 4
direct
0.000 0.000 0.000 Cr
0.000 0.500 0.250 Cr
0.500 0.000 0.750 Cr
0.500 0.500 0.500 Cr
0.221 0.250 0.125 Re
0.250 0.721 0.375 Re
0.250 0.779 0.875 Re
0.279 0.250 0.625 Re
0.721 0.750 0.625 Re
0.750 0.221 0.875 Re
0.750 0.279 0.375 Re
0.779 0.750 0.125 Re
0.000 0.000 0.500 W
0.000 0.500 0.750 W
0.500 0.000 0.250 W
0.500 0.500 0.000 W



# 19
CrReW3 | the Alexandria database | PBE-GGA | optimized geometry; energy relative to the lowest polymorph listed for this composition = 0.000 eV per atom
1.0
2.716 0.000 0.000
0.000 4.307 0.000
0.000 0.000 27.714
Cr Re W
4 4 12
direct
0.201 0.250 0.163 Cr
0.299 0.750 0.663 Cr
0.701 0.250 0.337 Cr
0.799 0.750 0.837 Cr
0.186 0.750 0.023 Re
0.314 0.250 0.523 Re
0.686 0.750 0.477 Re
0.814 0.250 0.977 Re
0.029 0.250 0.429 W
0.038 0.750 0.294 W
0.130 0.250 0.882 W
0.370 0.750 0.382 W
0.462 0.250 0.794 W
0.471 0.750 0.929 W
0.529 0.250 0.071 W
0.538 0.750 0.206 W
0.630 0.250 0.618 W
0.870 0.750 0.118 W
0.962 0.250 0.706 W
0.971 0.750 0.571 W



# 20
Cr2ReW2 | the Alexandria database | PBE-GGA | optimized geometry; final energy = -11.153 eV per atom
1.0
2.906 0.000 0.000
0.000 17.337 0.000
0.000 0.000 2.916
Cr Re W
4 2 4
direct
0.000 0.086 0.000 Cr
0.000 0.914 0.000 Cr
0.500 0.414 0.000 Cr
0.500 0.586 0.000 Cr
0.000 0.500 0.500 Re
0.500 0.000 0.500 Re
0.000 0.318 0.500 W
0.000 0.682 0.500 W
0.500 0.182 0.500 W
0.500 0.818 0.500 W



# 21
Cr6ReW | the Alexandria database | PBE-GGA | optimized geometry; final energy = -10.363 eV per atom
1.0
4.159 0.000 0.000
0.000 5.895 0.000
0.000 0.000 8.356
Cr Re W
12 2 2
direct
0.000 0.000 0.000 Cr
0.000 0.244 0.246 Cr
0.000 0.256 0.746 Cr
0.000 0.500 0.500 Cr
0.000 0.744 0.746 Cr
0.000 0.756 0.246 Cr
0.500 0.000 0.244 Cr
0.500 0.245 0.997 Cr
0.500 0.255 0.497 Cr
0.500 0.500 0.744 Cr
0.500 0.745 0.497 Cr
0.500 0.755 0.997 Cr
0.000 0.000 0.493 Re
0.000 0.500 0.993 Re
0.500 0.000 0.748 W
0.500 0.500 0.248 W



# 22
CrReW | the Alexandria database | PBE-GGA | optimized geometry; energy relative to the lowest polymorph listed for this composition = 0.016 eV per atom
1.0
9.218 0.000 0.000
0.000 4.314 0.000
-3.085 0.000 4.366
Cr Re W
4 4 4
direct
0.009 0.000 0.263 Cr
0.491 0.500 0.737 Cr
0.509 0.500 0.263 Cr
0.991 0.000 0.737 Cr
0.166 0.500 0.755 Re
0.334 0.000 0.245 Re
0.666 0.000 0.755 Re
0.834 0.500 0.245 Re
0.167 0.500 0.250 W
0.333 0.000 0.750 W
0.667 0.000 0.250 W
0.833 0.500 0.750 W



# 23
CrReW3 | the Alexandria database | PBE-GGA | optimized geometry; energy relative to the lowest polymorph listed for this composition = 1.731 eV per atom
1.0
4.754 0.000 0.000
0.000 4.754 0.000
0.000 0.000 4.754
Cr Re W
1 1 3
direct
0.000 0.000 0.000 Cr
0.500 0.500 0.500 Re
0.000 0.500 0.500 W
0.500 0.000 0.500 W
0.500 0.500 0.000 W



# 24
CrRe2W | the Alexandria database | PBE-GGA | optimized geometry; final energy = -11.642 eV per atom
1.0
2.762 0.000 0.000
0.000 3.881 0.000
0.000 0.000 5.491
Cr Re W
1 2 1
direct
0.000 0.000 0.000 Cr
0.000 0.000 0.489 Re
0.500 0.500 0.240 Re
0.500 0.500 0.752 W



# 25
CrRe2W | the Alexandria database | PBE-GGA | optimized geometry; final energy = -11.649 eV per atom
1.0
3.879 0.000 0.000
0.000 3.879 0.000
0.000 0.000 7.818
Cr Re W
2 4 2
direct
0.000 0.000 0.000 Cr
0.500 0.500 0.500 Cr
0.000 0.000 0.500 Re
0.000 0.500 0.750 Re
0.500 0.000 0.250 Re
0.500 0.500 0.000 Re
0.000 0.500 0.250 W
0.500 0.000 0.750 W



# 26
CrRe2W | the Alexandria database | PBE-GGA | optimized geometry; final energy = -11.749 eV per atom
1.0
3.066 0.000 0.000
0.000 4.361 0.000
0.000 0.000 4.372
Cr Re W
1 2 1
direct
0.000 0.000 0.000 Cr
0.000 0.500 0.500 Re
0.500 0.500 0.000 Re
0.500 0.000 0.500 W



# 27
CrRe2W | the Alexandria database | PBE-GGA | optimized geometry; final energy = -11.655 eV per atom
1.0
3.895 0.000 0.000
0.000 3.895 0.000
0.000 0.000 3.872
Cr Re W
1 2 1
direct
0.000 0.000 0.000 Cr
0.000 0.500 0.500 Re
0.500 0.000 0.500 Re
0.500 0.500 0.000 W



# 28
CrRe2W | the Alexandria database | PBE-GGA | optimized geometry; final energy = -11.695 eV per atom
1.0
2.795 0.000 0.000
0.000 2.795 0.000
0.000 0.000 7.472
Cr Re W
1 2 1
direct
0.000 0.000 0.000 Cr
0.500 0.500 0.225 Re
0.500 0.500 0.775 Re
0.000 0.000 0.500 W